1.
## Ni2CF (GGA+U)

Data for an optimized crystal structure of Ni2CF.

Lattice parameters (Å, degrees): 5.032 5.032 4.865 58.86 58.86 90.00
Sites, in units of the cell vectors:
C1 0.250 0.750 0.500
C2 0.500 0.500 0.000
Ni1 0.375 0.432 0.750
Ni2 0.875 0.818 0.750
Ni3 0.568 0.125 0.250
Ni4 0.182 0.625 0.250
F1 0.750 0.250 0.500
F2 0.000 0.000 0.000

Summary:
Its space-group type is I-42d (122). The energy above the lowest structure with this stoichiometry comes out at 0.0000 eV per atom. The calculation puts the calculated total energy at -3.506 eV/atom.

=====

2.
## Ni2CF (GGA+U)

Data for an optimized crystal structure of Ni2CF.

Lattice parameters (Å, degrees): 3.636 3.636 3.636 60.00 60.00 60.00
Sites, in units of the cell vectors:
F1 0.500 0.500 0.500
C1 0.000 0.000 0.000
Ni1 0.750 0.750 0.750
Ni2 0.250 0.250 0.250

Summary:
Its space-group type is Fm-3m (225). The energy above the lowest structure with this stoichiometry comes out at 0.5579 eV per atom. The calculation puts the calculated total energy at -2.948 eV/atom.

=====

3.
## Ni3CF (GGA+U)

Data for an optimized crystal structure of Ni3CF.

Lattice parameters (Å, degrees): 3.706 3.706 3.706 90.00 90.00 90.00
Sites, in units of the cell vectors:
F1 0.500 0.500 0.500
Ni1 0.000 0.000 0.500
Ni2 0.500 0.000 0.000
Ni3 0.000 0.500 0.000
C1 0.000 0.000 0.000

Summary:
Its space-group type is Pm-3m (221). The energy above the lowest structure with this stoichiometry comes out at 0.0000 eV per atom. The calculation puts the calculated total energy at -2.984 eV/atom.

=====

4.
## Ni2PCF (GGA+U)

Data for an optimized crystal structure of Ni2PCF.

Lattice parameters (Å, degrees): 4.301 3.389 4.301 90.00 90.00 90.00
Sites, in units of the cell vectors:
F1 0.500 0.500 0.500
C1 0.000 0.500 0.000
P1 0.000 0.000 0.000
Ni1 0.000 0.000 0.500
Ni2 0.500 0.000 0.000

Summary:
Its space-group type is P4/mmm (123). The calculation puts the calculated total energy at -3.264 eV/atom.

=====

5.
## Rb2NiCF6 (GGA+U)

Data for an optimized crystal structure of Rb2NiCF6.

Lattice parameters (Å, degrees): 5.784 5.784 5.782 59.99 59.99 90.00
Sites, in units of the cell vectors:
Rb1 0.250 0.750 0.500
Rb2 0.750 0.250 0.500
F1 0.253 0.253 0.000
F2 0.253 0.253 0.493
F3 0.747 0.747 0.000
F4 0.747 0.253 0.000
F5 0.747 0.747 0.507
F6 0.253 0.747 0.000
C1 0.500 0.500 0.000
Ni1 0.000 0.000 0.000

Summary:
Its space-group type is Fm-3m (225). The calculation puts the calculated total energy at -4.092 eV/atom.

=====

6.
## NiRu2CF (GGA+U)

Data for an optimized crystal structure of NiRu2CF.

Lattice parameters (Å, degrees): 4.283 3.719 4.283 90.00 90.00 90.00
Sites, in units of the cell vectors:
Ru1 0.500 0.000 0.000
Ru2 0.000 0.000 0.500
C1 0.500 0.500 0.500
Ni1 0.000 0.500 0.000
F1 0.000 0.000 0.000

Summary:
Its space-group type is P4/mmm (123). The calculation puts the calculated total energy at -4.527 eV/atom.

=====

7.
## NiSbCF2 (GGA+U)

Data for an optimized crystal structure of NiSbCF2.

Lattice parameters (Å, degrees): 3.781 4.638 3.781 90.00 90.00 90.00
Sites, in units of the cell vectors:
Ni1 0.000 0.000 0.000
F1 0.000 0.000 0.500
F2 0.500 0.000 0.000
Sb1 0.500 0.500 0.500
C1 0.000 0.500 0.000

Summary:
Its space-group type is P4/mmm (123). The calculation puts the calculated total energy at -4.097 eV/atom.

=====

8.
## NiSnC2F (GGA+U)

Data for an optimized crystal structure of NiSnC2F.

Lattice parameters (Å, degrees): 3.894 4.479 3.894 90.00 90.00 90.00
Sites, in units of the cell vectors:
Ni1 0.500 0.500 0.500
C1 0.000 0.000 0.500
C2 0.500 0.000 0.000
Sn1 0.000 0.500 0.000
F1 0.000 0.000 0.000

Summary:
Its space-group type is P4/mmm (123). The calculation puts the calculated total energy at -2.955 eV/atom.

=====

9.
## TaNiC2F (GGA+U)

Data for an optimized crystal structure of TaNiC2F.

Lattice parameters (Å, degrees): 3.504 4.915 3.504 90.00 90.00 90.00
Sites, in units of the cell vectors:
C1 0.500 0.000 0.000
C2 0.000 0.000 0.500
F1 0.500 0.500 0.500
Ta1 0.000 0.500 0.000
Ni1 0.000 0.000 0.000

Summary:
Its space-group type is P4/mmm (123). The calculation puts the calculated total energy at -5.445 eV/atom.

=====

10.
## NiWCF2 (GGA+U)

Data for an optimized crystal structure of NiWCF2.

Lattice parameters (Å, degrees): 3.410 6.570 3.410 90.00 90.00 90.00
Sites, in units of the cell vectors:
C1 0.500 0.500 0.500
W1 0.000 0.500 0.000
Ni1 0.000 0.000 0.000
F1 0.000 0.000 0.500
F2 0.500 0.000 0.000

Summary:
Its space-group type is P4/mmm (123). The calculation puts the calculated total energy at -4.456 eV/atom.

=====

11.
## Zr2NiCF (GGA+U)

Data for an optimized crystal structure of Zr2NiCF.

Lattice parameters (Å, degrees): 4.862 3.461 4.862 90.00 90.00 90.00
Sites, in units of the cell vectors:
Zr1 0.500 0.000 0.000
Zr2 0.000 0.000 0.500
Ni1 0.000 0.000 0.000
F1 0.500 0.500 0.500
C1 0.000 0.500 0.000

Summary:
Its space-group type is P4/mmm (123). The calculation puts the calculated total energy at -5.778 eV/atom.

=====

D(E_F) per entry: 0.6611 0.3458 0.1966 0.1563 0.0000 0.8854 0.2734 1.1190 0.5419 0.0206 0.8284 states/eV/atom